(1)
A relaxed Sb2MoIF crystal, computed with PBE+U.

a b c (Å): 5.2998 5.2998 5.5239
angles (deg): 90.00 90.00 90.00
Fractional positions:
Sb  0.0000  0.5000  0.0000
Sb  0.5000  0.0000  0.0000
Mo  0.0000  0.0000  0.0000
I  0.0000  0.0000  0.5000
F  0.5000  0.5000  0.5000

Calculated values
E_tot ... -16.92 eV for the cell shown
Mass density ... 5.19 g/cm³
M_tot ... 0.659 μB/cell
Relative energy among the computed polymorphs ... 0.1511 eV/atom

***

(2)
A relaxed Sb2MoIF crystal, computed with PBE+U.

a b c (Å): 4.6997 4.6997 6.0435
angles (deg): 90.00 90.00 90.00
Fractional positions:
Sb  0.0000  0.5000  0.0000
Sb  0.5000  0.0000  0.0000
Mo  0.0000  0.0000  0.5000
I  0.5000  0.5000  0.5000
F  0.5000  0.5000  0.0000

Calculated values
E_tot ... -17.68 eV for the cell shown
Mass density ... 6.04 g/cm³
M_tot ... 3.488 μB/cell
Relative energy among the computed polymorphs ... 0.0000 eV/atom